P.
This record from Alexandria via LeMat-Bulk describes a relaxed structure of Pr2NdEr7. The functional is PBE-GGA.

Cell: 3.516 14.796 14.796 Å, 154.61 90.00 90.00°
Fractional coordinates of all 10 atoms:
Pr: 0.500 0.708 0.292
Pr: 0.500 0.292 0.708
Nd: 0.000 0.000 0.000
Er: 0.000 0.816 0.184
Er: 0.000 0.184 0.816
Er: 0.500 0.148 0.346
Er: 0.500 0.852 0.654
Er: 0.500 0.346 0.148
Er: 0.500 0.654 0.852
Er: 0.500 0.500 0.500

Density: 8.0 g/cm3
Space-group type: Cmmm (65)

---

Q.
This record from Alexandria via LeMat-Bulk describes a relaxed structure of Pr2NdEr7. The functional is PBE-GGA.

Cell: 6.169 7.980 7.957 Å, 89.90 75.13 58.86°
Fractional coordinates of all 10 atoms:
Pr: 0.500 0.701 0.600
Pr: 0.500 0.299 0.400
Nd: 0.000 0.000 0.000
Er: 0.001 0.800 0.399
Er: 0.999 0.200 0.601
Er: 0.999 0.600 0.802
Er: 0.001 0.400 0.198
Er: 0.500 0.899 0.198
Er: 0.500 0.101 0.802
Er: 0.500 0.500 0.000

Density: 8.3 g/cm3
Space-group type: P-1 (2)

---

Tell me which of them is the least stable. Sure, it is P.

---

P.
This record from Alexandria via LeMat-Bulk describes a relaxed structure of Pr5Nd2Er12. The functional is PBE-GGA.

Cell: 6.690 12.346 12.210 Å, 138.43 110.57 79.03°
Fractional coordinates of all 19 atoms:
Pr: 0.282 0.514 0.566
Pr: 0.201 0.611 0.070
Pr: 0.000 0.000 0.500
Pr: 0.799 0.389 0.930
Pr: 0.718 0.486 0.434
Nd: 0.602 0.887 0.826
Nd: 0.398 0.113 0.174
Er: 0.954 0.115 0.275
Er: 0.061 0.739 0.898
Er: 0.643 0.730 0.016
Er: 0.248 0.645 0.381
Er: 0.699 0.661 0.301
Er: 0.577 0.015 0.653
Er: 0.423 0.985 0.347
Er: 0.752 0.355 0.619
Er: 0.301 0.339 0.699
Er: 0.939 0.261 0.102
Er: 0.357 0.270 0.984
Er: 0.046 0.885 0.725

Density: 8.0 g/cm3
Space-group type: P-1 (2)

---

Q.
This record from Alexandria via LeMat-Bulk describes a relaxed structure of Pr5Nd2Er12. The functional is PBE-GGA.

Cell: 7.094 9.852 10.364 Å, 70.27 90.00 111.10°
Fractional coordinates of all 19 atoms:
Pr: 0.189 0.378 0.816
Pr: 0.318 0.636 0.213
Pr: 0.000 0.000 0.500
Pr: 0.682 0.364 0.787
Pr: 0.811 0.622 0.184
Nd: 0.721 0.000 0.000
Nd: 0.279 0.000 0.000
Er: 0.975 0.951 0.244
Er: 0.089 0.684 0.867
Er: 0.595 0.684 0.867
Er: 0.091 0.676 0.519
Er: 0.585 0.676 0.519
Er: 0.496 0.993 0.672
Er: 0.504 0.007 0.328
Er: 0.909 0.324 0.481
Er: 0.415 0.324 0.481
Er: 0.911 0.316 0.133
Er: 0.405 0.316 0.133
Er: 0.025 0.049 0.756

Density: 7.9 g/cm3
Space-group type: C2/m (12)

---

Tell me which of them is the least stable. Sure, it is Q.